First-principles (PBE-GGA) data for Pu2TlPd after structural relaxation, as listed in Alexandria via LeMat-Bulk.

Cell lengths 3.6778, 3.6778, 27.4051 Å; angles 90.00, 90.00, 120.00 degrees
Space group R-3m (No. 166, hexagonal axes)
One atom of each set of equivalent atoms:
1 Pu 0.0000 0.0000 0.2384 [6 per cell]
2 Tl 0.0000 0.0000 0.0000 [3 per cell]
3 Pd 0.0000 0.0000 0.5000 [3 per cell]

Calculated values
As for the formation energy: -61 meV per atom. Its magnetic moment is 11.4 μB per formula unit. As for the polymorph energy (0 for the lowest one): 0.132 eV/atom.